! SrMnVF6 PBE+U relaxed; values from VASP
! total energy = -6.15 eV/atom
! DOS(E_F) = 0.00 states/eV/f.u.
! M_tot = 8.0 μB per formula unit
&SYSTEM
  ibrav = 0, nat = 18, ntyp = 4
/
ATOMIC_SPECIES
Mn 54.94 Mn.upf
Sr 87.62 Sr.upf
F 19.00 F.upf
V 50.94 V.upf
ATOMIC_POSITIONS angstrom
Mn 2.5835 2.5835 5.1929
Sr 2.5835 2.5835 1.7341
F 3.6449 3.6449 10.2358
F 1.0716 4.0955 8.8429
F 3.4828 3.4828 6.9586
F 4.2678 0.8993 1.7516
F 3.6551 3.6551 3.6359
F 4.0955 1.0716 8.8429
Mn 0.0000 0.0000 10.3999
F 1.5120 1.5120 3.6359
V 2.5835 2.5835 8.6894
F 1.5222 1.5222 10.2358
F 1.0614 4.1057 5.0288
Sr 0.0000 0.0000 6.9411
V 0.0000 0.0000 3.4824
F 4.1057 1.0614 5.0288
F 1.6843 1.6843 6.9586
F 0.8993 4.2678 1.7516
CELL_PARAMETERS angstrom
5.1671 0.0000 0.0000
0.0000 5.1671 0.0000
0.0000 0.0000 10.4140